A plane-wave DFT calculation with PBE was carried out for an optimized crystal structure of VSiP.

Geometry as CIF:
```
data_VSiP
_space_group_name_H-M_alt 'C 1 2/m 1'
_space_group_IT_number 12
_cell_length_a 8.372
_cell_length_b 3.222
_cell_length_c 5.804
_cell_angle_alpha 90.00
_cell_angle_beta 90.80
_cell_angle_gamma 90.00
loop_
_space_group_symop_operation_xyz
'x,y,z'
'-x,-y,-z'
'-x,y,-z'
'x,-y,z'
'x+1/2,y+1/2,z'
'-x+1/2,-y+1/2,-z'
'-x+1/2,y+1/2,-z'
'x+1/2,-y+1/2,z'
loop_
_atom_site_label
_atom_site_fract_x
_atom_site_fract_y
_atom_site_fract_z
_atom_site_occupancy
V1 0.069 0.000 0.235 1
Si1 0.146 0.500 0.548 1
P1 0.143 0.500 0.931 1
```

The formation energy from raw total energies is -0.352 eV per atom.


A plane-wave DFT calculation with PBE was carried out for an optimized crystal structure of Zn4CuAu5.

Geometry as CIF:
```
data_Zn4CuAu5
_space_group_name_H-M_alt 'P 4/m m m'
_space_group_IT_number 123
_space_group_name_Hall '-P 4 2'
_cell_length_a 3.198
_cell_length_b 3.198
_cell_length_c 15.698
_cell_angle_alpha 90.00
_cell_angle_beta 90.00
_cell_angle_gamma 90.00
loop_
_atom_site_label
_atom_site_fract_x
_atom_site_fract_y
_atom_site_fract_z
_atom_site_occupancy
Zn1 0.000 0.000 0.101 1
Zn2 0.000 0.000 0.306 1
Cu1 0.000 0.000 0.500 1
Au1 0.500 0.500 0.000 1
Au2 0.500 0.500 0.203 1
Au3 0.500 0.500 0.403 1
```

The calculation puts the electronic total energy at -0.1005 hartree per atom.


A plane-wave DFT calculation with PBE was carried out for an optimized crystal structure of RbYPb.

Geometry as CIF:
```
data_RbYPb
_space_group_name_H-M_alt 'C m c m'
_space_group_IT_number 63
_space_group_name_Hall '-C 2c 2'
_cell_length_a 5.964
_cell_length_b 9.700
_cell_length_c 7.461
_cell_angle_alpha 90.00
_cell_angle_beta 90.00
_cell_angle_gamma 90.00
loop_
_atom_site_label
_atom_site_fract_x
_atom_site_fract_y
_atom_site_fract_z
_atom_site_occupancy
Rb1 0.000 0.160 0.250 1
Y1 0.000 0.500 0.000 1
Pb1 0.000 0.184 0.750 1
```

The calculation puts the electronic total energy at -0.1294 hartree per atom.